# 1
DFT (PBE) results for a relaxed structure of Ac2PrGa4Pt3.

Unit cell a=4.4311 b=4.4311 c=11.7398 alpha=90.00 beta=90.00 gamma=90.00
Space group P-4m2 (No. 115)
Asymmetric unit:
Ac (0.0000, 0.5000, 0.2245)
Pr (0.0000, 0.0000, 0.5000)
Ga (0.0000, 0.0000, 0.0000)
Ga (0.0000, 0.5000, 0.6699)
Ga (0.5000, 0.5000, 0.0000)
Pt (0.0000, 0.5000, 0.8838)
Pt (0.5000, 0.5000, 0.5000)

## Properties
**Energy of formation**: -832 meV/atom
**Density**: 10.51 g/cm³

# 2
DFT (PBE) results for a relaxed structure of LiMgSn2N.

Unit cell a=4.9359 b=4.9359 c=3.8570 alpha=90.00 beta=90.00 gamma=90.00
Space group P4/mmm (No. 123)
Asymmetric unit:
Li (0.0000, 0.0000, 0.0000)
Mg (0.5000, 0.5000, 0.0000)
Sn (0.0000, 0.5000, 0.5000)
N (0.0000, 0.0000, 0.5000)

## Properties
**Total energy**: -3.871 eV/atom
**Density**: 5.00 g/cm³

# 3
DFT (PBE) results for a relaxed structure of Mg2AlIn.

Unit cell a=3.1293 b=4.3342 c=6.2760 alpha=90.00 beta=90.18 gamma=90.00
Space group P2/m (No. 10)
Asymmetric unit:
Mg (0.0019, 0.0000, 0.2617)
Al (0.5000, 0.5000, 0.5000)
In (0.5000, 0.5000, 0.0000)

## Properties
**Energy of formation**: -25 meV/atom
**Density**: 3.71 g/cm³

# 4
DFT (PBE) results for a relaxed structure of CaNdGd2.

Unit cell a=8.2238 b=8.2238 c=8.2238 alpha=90.00 beta=90.00 gamma=90.00
Space group Fm-3m (No. 225)
Asymmetric unit:
Ca (0.0000, 0.0000, 0.0000)
Nd (0.0000, 0.0000, 0.5000)
Gd (0.2500, 0.2500, 0.2500)

## Properties
**Energy of formation**: 130 meV/atom
**Density**: 5.96 g/cm³
**Energy relative to the lowest polymorph listed for this composition**: 0.081 eV per atom

# 5
DFT (PBE) results for a relaxed structure of CsSnF3.

Unit cell a=4.8137 b=4.8874 c=10.3094 alpha=90.00 beta=90.82 gamma=90.00
Space group P2_1 (No. 4)
Asymmetric unit:
Cs (0.2461, 0.0000, 0.1436)
Sn (0.2499, 0.9996, 0.6443)
F (0.2157, 0.9505, 0.8486)
F (0.2505, 0.4258, 0.6881)
F (0.3110, 0.5011, 0.3128)

## Properties
**Total energy**: -4.608 eV/atom
**Density**: 4.23 g/cm³

# 6
DFT (PBE) results for a relaxed structure of KAlBr3.

Unit cell a=6.1163 b=6.1163 c=6.1163 alpha=90.00 beta=90.00 gamma=90.00
Space group Pm-3m (No. 221)
Asymmetric unit:
K (0.0000, 0.0000, 0.0000)
Al (0.5000, 0.5000, 0.5000)
Br (0.0000, 0.0000, 0.5000)

## Properties
**Density**: 2.22 g/cm³
**Energy relative to the lowest polymorph listed for this composition**: 0.851 eV per atom